Run a
The following is a DFT calculation (PBEsol) of a relaxed Cs2SO4 crystal.

* calculated density: 3.7 g/cm3
* calculated volume: 23.0 Å³ per atom
* D(E_F): 0.000 states/eV/cell

a b c (Å): 13.2598 6.1156 7.9269
angles (deg): 90.00 90.00 90.00
With the nearest neighbours (Å) after each atom.
Atoms (fractional coordinates):
1 Cs 0.0368 0.2500 0.1621  6 O 2.98-3.10
2 Cs 0.1736 0.7500 0.4744  7 O 2.94-3.29
3 Cs 0.3264 0.2500 0.9744  7 O 2.94-3.29
4 Cs 0.4632 0.7500 0.6621  6 O 2.98-3.10
5 Cs 0.5368 0.2500 0.3379  6 O 2.98-3.10
6 Cs 0.6736 0.7500 0.0256  7 O 2.94-3.29
7 Cs 0.8264 0.2500 0.5256  7 O 2.94-3.29
8 Cs 0.9632 0.7500 0.8379  6 O 2.98-3.10
9 S 0.0917 0.2500 0.7162  4 O 1.49-1.50
10 S 0.4083 0.7500 0.2162  4 O 1.49-1.50
11 S 0.5917 0.2500 0.7838  4 O 1.49-1.50
12 S 0.9083 0.7500 0.2838  4 O 1.49-1.50
13 O 0.0142 0.7500 0.2167  1 S 1.50
14 O 0.0888 0.2500 0.5284  1 S 1.49
15 O 0.1443 0.0506 0.7793  1 S 1.49
16 O 0.1443 0.4494 0.7793  1 S 1.49
17 O 0.3557 0.5506 0.2793  1 S 1.49
18 O 0.3557 0.9494 0.2793  1 S 1.49
19 O 0.4112 0.7500 0.0284  1 S 1.49
20 O 0.4858 0.2500 0.7167  1 S 1.50
21 O 0.5142 0.7500 0.2833  1 S 1.50
22 O 0.5888 0.2500 0.9716  1 S 1.49
23 O 0.6443 0.0506 0.7207  1 S 1.49
24 O 0.6443 0.4494 0.7207  1 S 1.49
25 O 0.8557 0.5506 0.2207  1 S 1.49
26 O 0.8557 0.9494 0.2207  1 S 1.49
27 O 0.9112 0.7500 0.4716  1 S 1.49
28 O 0.9858 0.2500 0.7833  1 S 1.50

Run b
The following is a DFT calculation (PBEsol) of a relaxed Cs2SO4 crystal.

* calculated density: 4.4 g/cm3
* calculated volume: 19.7 Å³ per atom
* D(E_F): 0.000 states/eV/cell

a b c (Å): 8.1980 6.1975 10.8557
angles (deg): 90.00 90.00 90.00
With the nearest neighbours (Å) after each atom.
Atoms (fractional coordinates):
1 Cs 0.0112 0.2500 0.1984  9 O 3.02-3.35
2 Cs 0.1727 0.7500 0.4092  10 O 3.14-3.42
3 Cs 0.3273 0.2500 0.9092  10 O 3.14-3.42
4 Cs 0.4888 0.7500 0.6984  9 O 3.02-3.35
5 Cs 0.5112 0.2500 0.3016  9 O 3.02-3.35
6 Cs 0.6727 0.7500 0.0908  10 O 3.14-3.42
7 Cs 0.8273 0.2500 0.5908  10 O 3.14-3.42
8 Cs 0.9888 0.7500 0.8016  9 O 3.02-3.35
9 S 0.2403 0.7500 0.0825  4 O 1.49
10 S 0.2597 0.2500 0.5825  4 O 1.49
11 S 0.7403 0.7500 0.4175  4 O 1.49
12 S 0.7597 0.2500 0.9175  4 O 1.49
13 O 0.0588 0.7500 0.0869  1 S 1.49
14 O 0.1963 0.0533 0.6459  1 S 1.49
15 O 0.1963 0.4467 0.6459  1 S 1.49
16 O 0.2017 0.2500 0.4519  1 S 1.49
17 O 0.2983 0.7500 0.9519  1 S 1.49
18 O 0.3037 0.5533 0.1459  1 S 1.49
19 O 0.3037 0.9467 0.1459  1 S 1.49
20 O 0.4412 0.2500 0.5869  1 S 1.49
21 O 0.5588 0.7500 0.4131  1 S 1.49
22 O 0.6963 0.0533 0.8541  1 S 1.49
23 O 0.6963 0.4467 0.8541  1 S 1.49
24 O 0.7017 0.2500 0.0481  1 S 1.49
25 O 0.7983 0.7500 0.5481  1 S 1.49
26 O 0.8037 0.5533 0.3541  1 S 1.49
27 O 0.8037 0.9467 0.3541  1 S 1.49
28 O 0.9412 0.2500 0.9131  1 S 1.49

Which of them is the least stable? Correct choice: run a.

Run a
The following is a DFT calculation (PBEsol) of a relaxed Cs3TmO3 crystal.

* calculated density: 5.7 g/cm3
* calculated volume: 25.7 Å³ per atom
* D(E_F): 0.000 states/eV/cell

a b c (Å): 7.3848 7.3848 7.5139
angles (deg): 95.92 95.92 116.41
With the nearest neighbours (Å) after each atom.
Atoms (fractional coordinates):
1 Cs 0.2110 0.7890 0.0000  2 O 2.85
2 Cs 0.2627 0.7373 0.5000  4 O 3.07-3.18
3 Cs 0.3568 0.3568 0.1475  1 O 2.77
4 Cs 0.6432 0.6432 0.8525  1 O 2.77
5 Cs 0.7373 0.2627 0.5000  4 O 3.07-3.18
6 Cs 0.7890 0.2110 0.0000  2 O 2.85
7 Tm 0.1702 0.1702 0.6522  4 O 2.08-2.14
8 Tm 0.8298 0.8298 0.3478  4 O 2.08-2.14
9 O 0.1056 0.1056 0.3625  2 Tm 2.13-2.14
10 O 0.1605 0.4328 0.7682  1 Tm 2.08
11 O 0.4328 0.1605 0.7682  1 Tm 2.08
12 O 0.5672 0.8395 0.2318  1 Tm 2.08
13 O 0.8395 0.5672 0.2318  1 Tm 2.08
14 O 0.8944 0.8944 0.6375  2 Tm 2.13-2.14

Run b
The following is a DFT calculation (PBEsol) of a relaxed Cs3TmO3 crystal.

* calculated density: 5.7 g/cm3
* calculated volume: 25.5 Å³ per atom
* D(E_F): 0.000 states/eV/cell

a b c (Å): 8.0172 7.4580 11.9900
angles (deg): 90.00 95.13 90.00
With the nearest neighbours (Å) after each atom.
Atoms (fractional coordinates):
1 Cs 0.0585 0.1234 0.1566  3 O 2.91-3.13
2 Cs 0.0585 0.3766 0.6566  3 O 2.91-3.13
3 Cs 0.3513 0.1578 0.9234  3 O 2.84-2.94
4 Cs 0.3513 0.3422 0.4234  3 O 2.84-2.94
5 Cs 0.3806 0.6796 0.8100  3 O 2.81-3.13
6 Cs 0.3806 0.8204 0.3100  3 O 2.81-3.13
7 Cs 0.6194 0.1796 0.6900  3 O 2.81-3.13
8 Cs 0.6194 0.3204 0.1900  3 O 2.81-3.13
9 Cs 0.6487 0.6578 0.5766  3 O 2.84-2.94
10 Cs 0.6487 0.8422 0.0766  3 O 2.84-2.94
11 Cs 0.9415 0.6234 0.3434  3 O 2.91-3.13
12 Cs 0.9415 0.8766 0.8434  3 O 2.91-3.13
13 Tm 0.1541 0.5890 0.0700  4 O 2.07-2.15
14 Tm 0.1541 0.9110 0.5700  4 O 2.07-2.15
15 Tm 0.8459 0.0890 0.4300  4 O 2.07-2.15
16 Tm 0.8459 0.4110 0.9300  4 O 2.07-2.15
17 O 0.1094 0.0532 0.4151  2 Tm 2.14-2.15
18 O 0.1094 0.4468 0.9151  2 Tm 2.14-2.15
19 O 0.2443 0.6525 0.5497  1 Tm 2.08
20 O 0.2443 0.8475 0.0497  1 Tm 2.08
21 O 0.2921 0.0477 0.6967  1 Tm 2.07
22 O 0.2921 0.4523 0.1967  1 Tm 2.07
23 O 0.7079 0.5477 0.8033  1 Tm 2.07
24 O 0.7079 0.9523 0.3033  1 Tm 2.07
25 O 0.7557 0.1525 0.9503  1 Tm 2.08
26 O 0.7557 0.3475 0.4503  1 Tm 2.08
27 O 0.8906 0.5532 0.0849  2 Tm 2.14-2.15
28 O 0.8906 0.9468 0.5849  2 Tm 2.14-2.15

Which of them is the least stable? Correct choice: run a.

Run a
The following is a DFT calculation (PBEsol) of a relaxed Cs5YO4 crystal.

* calculated density: 5.0 g/cm3
* calculated volume: 27.3 Å³ per atom
* D(E_F): 0.000 states/eV/cell

a b c (Å): 11.6015 12.9696 7.3782
angles (deg): 90.00 100.68 90.00
With the nearest neighbours (Å) after each atom.
Atoms (fractional coordinates):
1 Cs 0.9999 0.0764 0.2415  4 O 2.81-3.12
2 Cs 0.9999 0.4236 0.7415  4 O 2.81-3.12
3 Cs 0.0001 0.5764 0.2585  4 O 2.81-3.12
4 Cs 0.0001 0.9236 0.7585  4 O 2.81-3.12
5 Cs 0.1541 0.1783 0.8325  3 O 2.79-3.11
6 Cs 0.1541 0.3217 0.3325  3 O 2.79-3.11
7 Cs 0.2173 0.6963 0.0081  4 O 3.02-3.13
8 Cs 0.2173 0.8037 0.5081  4 O 3.02-3.13
9 Cs 0.3733 0.0665 0.5718  3 O 2.81-2.97
10 Cs 0.3733 0.4335 0.0718  3 O 2.81-2.97
11 Cs 0.4922 0.6650 0.4035  4 O 2.99-3.17
12 Cs 0.4922 0.8350 0.9035  4 O 2.99-3.17
13 Cs 0.5078 0.1650 0.0965  4 O 2.99-3.17
14 Cs 0.5078 0.3350 0.5965  4 O 2.99-3.17
15 Cs 0.6267 0.5665 0.9282  3 O 2.81-2.97
16 Cs 0.6267 0.9335 0.4282  3 O 2.81-2.97
17 Cs 0.7827 0.1963 0.4919  4 O 3.02-3.13
18 Cs 0.7827 0.3037 0.9919  4 O 3.02-3.13
19 Cs 0.8459 0.6783 0.6675  3 O 2.79-3.11
20 Cs 0.8459 0.8217 0.1675  3 O 2.79-3.11
21 Y 0.2600 0.5388 0.6132  4 O 2.13-2.16
22 Y 0.2600 0.9612 0.1132  4 O 2.13-2.16
23 Y 0.7400 0.0388 0.8868  4 O 2.13-2.16
24 Y 0.7400 0.4612 0.3868  4 O 2.13-2.16
25 O 0.0965 0.6092 0.6420  1 Y 2.15
26 O 0.0965 0.8908 0.1420  1 Y 2.15
27 O 0.2563 0.1217 0.1914  1 Y 2.16
28 O 0.2563 0.3783 0.6914  1 Y 2.16
29 O 0.2653 0.5442 0.3266  1 Y 2.13
30 O 0.2653 0.9558 0.8266  1 Y 2.13
31 O 0.3983 0.6289 0.7691  1 Y 2.14
32 O 0.3983 0.8711 0.2691  1 Y 2.14
33 O 0.6017 0.1289 0.7309  1 Y 2.14
34 O 0.6017 0.3711 0.2309  1 Y 2.14
35 O 0.7347 0.0442 0.1734  1 Y 2.13
36 O 0.7347 0.4558 0.6734  1 Y 2.13
37 O 0.7437 0.6217 0.3086  1 Y 2.16
38 O 0.7437 0.8783 0.8086  1 Y 2.16
39 O 0.9035 0.1092 0.8580  1 Y 2.15
40 O 0.9035 0.3908 0.3580  1 Y 2.15

Run b
The following is a DFT calculation (PBEsol) of a relaxed Cs5YO4 crystal.

* calculated density: 4.9 g/cm3
* calculated volume: 27.9 Å³ per atom
* D(E_F): 0.000 states/eV/cell

a b c (Å): 8.4177 9.6466 6.8658
angles (deg): 90.00 90.00 90.00
With the nearest neighbours (Å) after each atom.
Atoms (fractional coordinates):
1 Cs 0.0134 0.0621 0.2420  4 O 2.89-3.15
2 Cs 0.0134 0.4379 0.2420  4 O 2.89-3.15
3 Cs 0.2500 0.7500 0.3394  2 O 2.81
4 Cs 0.4866 0.0621 0.2420  4 O 2.89-3.15
5 Cs 0.4866 0.4379 0.2420  4 O 2.89-3.15
6 Cs 0.5134 0.5621 0.7580  4 O 2.89-3.15
7 Cs 0.5134 0.9379 0.7580  4 O 2.89-3.15
8 Cs 0.7500 0.2500 0.6606  2 O 2.81
9 Cs 0.9866 0.5621 0.7580  4 O 2.89-3.15
10 Cs 0.9866 0.9379 0.7580  4 O 2.89-3.15
11 Y 0.2500 0.2500 0.7164  4 O 2.15-2.16
12 Y 0.7500 0.7500 0.2836  4 O 2.15-2.16
13 O 0.0319 0.2500 0.8801  1 Y 2.15
14 O 0.2500 0.0609 0.5469  1 Y 2.16
15 O 0.2500 0.4391 0.5469  1 Y 2.16
16 O 0.4681 0.2500 0.8801  1 Y 2.15
17 O 0.5319 0.7500 0.1199  1 Y 2.15
18 O 0.7500 0.5609 0.4531  1 Y 2.16
19 O 0.7500 0.9391 0.4531  1 Y 2.16
20 O 0.9681 0.7500 0.1199  1 Y 2.15

Which of them is the least stable? Correct choice: run b.

Run a
The following is a DFT calculation (PBEsol) of a relaxed CsTl3Pt crystal.

* calculated density: 9.6 g/cm3
* calculated volume: 32.4 Å³ per atom
* D(E_F): 4.849 states/eV/cell

a b c (Å): 8.7169 4.2087 9.6854
angles (deg): 90.00 114.15 90.00
With the nearest neighbours (Å) after each atom.
Atoms (fractional coordinates):
1 Cs 0.2238 0.2500 0.4361  8 Tl 3.81-3.92, 2 Cs 4.21
2 Cs 0.7762 0.7500 0.5639  8 Tl 3.81-3.92, 2 Cs 4.21
3 Tl 0.0538 0.2500 0.9161  1 Pt 2.73, 2 Tl 3.03
4 Tl 0.2678 0.7500 0.7788  3 Pt 2.85-2.88
5 Tl 0.3733 0.7500 0.1838  3 Pt 2.84-3.17
6 Tl 0.6267 0.2500 0.8162  3 Pt 2.84-3.17
7 Tl 0.7322 0.2500 0.2212  3 Pt 2.85-2.88
8 Tl 0.9462 0.7500 0.0839  1 Pt 2.73, 2 Tl 3.03
9 Pt 0.3920 0.2500 0.9946  6 Tl 2.73-2.88, 2 Pt 2.80
10 Pt 0.6080 0.7500 0.0054  6 Tl 2.73-2.88, 2 Pt 2.80

Run b
The following is a DFT calculation (PBEsol) of a relaxed CsTl3Pt crystal.

* calculated density: 9.9 g/cm3
* calculated volume: 31.7 Å³ per atom
* D(E_F): 3.437 states/eV/cell

a b c (Å): 5.4091 5.4091 5.4091
angles (deg): 90.00 90.00 90.00
With the nearest neighbours (Å) after each atom.
Atoms (fractional coordinates):
1 Cs 0.0000 0.0000 0.0000  12 Tl 3.82
2 Tl 0.0000 0.5000 0.5000  2 Pt 2.70
3 Tl 0.5000 0.0000 0.5000  2 Pt 2.70
4 Tl 0.5000 0.5000 0.0000  2 Pt 2.70
5 Pt 0.5000 0.5000 0.5000  6 Tl 2.70

Which of them is the least stable? Correct choice: run b.

Run a
The following is a DFT calculation (PBEsol) of a relaxed Cs3RbS crystal.

* calculated density: 2.6 g/cm3
* calculated volume: 65.2 Å³ per atom
* D(E_F): 1.912 states/eV/cell

a b c (Å): 6.8827 6.8827 6.8827
angles (deg): 90.00 90.00 90.00
With the nearest neighbours (Å) after each atom.
Atoms (fractional coordinates):
1 Cs 0.0000 0.0000 0.5000  2 S 3.44
2 Cs 0.0000 0.5000 0.0000  2 S 3.44
3 Cs 0.5000 0.0000 0.0000  2 S 3.44
4 Rb 0.5000 0.5000 0.5000  12 Cs 4.87
5 S 0.0000 0.0000 0.0000  6 Cs 3.44

Run b
The following is a DFT calculation (PBEsol) of a relaxed Cs3RbS crystal.

* calculated density: 2.0 g/cm3
* calculated volume: 84.7 Å³ per atom
* D(E_F): 5.930 states/eV/cell

a b c (Å): 7.5093 7.5093 7.5093
angles (deg): 90.00 90.00 90.00
With the nearest neighbours (Å) after each atom.
Atoms (fractional coordinates):
1 Cs 0.0000 0.0000 0.5000  2 Rb 3.75
2 Cs 0.0000 0.5000 0.0000  2 Rb 3.75
3 Cs 0.5000 0.0000 0.0000  2 Rb 3.75
4 Rb 0.0000 0.0000 0.0000  6 Cs 3.75
5 S 0.5000 0.5000 0.5000  12 Cs 5.31

Which of them is the least stable? Correct choice: run b.

Run a
The following is a DFT calculation (PBEsol) of a relaxed CsReTc3 crystal.

* calculated density: 9.1 g/cm3
* calculated volume: 22.3 Å³ per atom
* D(E_F): 5.758 states/eV/cell

a b c (Å): 4.8155 4.8155 4.8155
angles (deg): 90.00 90.00 90.00
With the nearest neighbours (Å) after each atom.
Atoms (fractional coordinates):
1 Cs 0.0000 0.0000 0.0000  12 Tc 3.41
2 Re 0.5000 0.5000 0.5000  6 Tc 2.41
3 Tc 0.0000 0.5000 0.5000  2 Re 2.41
4 Tc 0.5000 0.0000 0.5000  2 Re 2.41
5 Tc 0.5000 0.5000 0.0000  2 Re 2.41

Run b
The following is a DFT calculation (PBEsol) of a relaxed CsReTc3 crystal.

* calculated density: 9.8 g/cm3
* calculated volume: 20.8 Å³ per atom
* D(E_F): 5.473 states/eV/cell

a b c (Å): 4.6990 4.6990 4.6990
angles (deg): 90.00 90.00 90.00
With the nearest neighbours (Å) after each atom.
Atoms (fractional coordinates):
1 Cs 0.0000 0.0000 0.0000  6 Tc 2.35
2 Re 0.5000 0.5000 0.5000  12 Tc 3.32
3 Tc 0.0000 0.0000 0.5000  2 Cs 2.35
4 Tc 0.0000 0.5000 0.0000  2 Cs 2.35
5 Tc 0.5000 0.0000 0.0000  2 Cs 2.35

Which of them is the least stable? Correct choice: run b.